Entry 1:
TcF4 at its PBEsol-relaxed geometry, computed with SCAN.

Calculated values
* mass density: 3.9 Mg/m³
* formation energy from raw total energies: -2230.8 meV per atom
* SG: Pbca (61)
* E: -12.07 eV/atom

Geometry as CIF:
```
data_TcF4
_chemical_formula_sum 'Tc8 F32'
_symmetry_space_group_name_H-M 'P 1'
_symmetry_Int_Tables_number 1
_cell_length_a 5.374
_cell_length_b 9.636
_cell_length_c 11.357
_cell_angle_alpha 90.00
_cell_angle_beta 90.00
_cell_angle_gamma 90.00
loop_
_symmetry_equiv_pos_as_xyz
'x,y,z'
loop_
_atom_site_label
_atom_site_type_symbol
_atom_site_fract_x
_atom_site_fract_y
_atom_site_fract_z
Tc1 Tc 0.094 0.129 0.176
Tc2 Tc 0.094 0.371 0.676
Tc3 Tc 0.406 0.629 0.176
Tc4 Tc 0.406 0.871 0.676
Tc5 Tc 0.594 0.129 0.324
Tc6 Tc 0.594 0.371 0.824
Tc7 Tc 0.906 0.629 0.324
Tc8 Tc 0.906 0.871 0.824
F1 F 0.055 0.745 0.431
F2 F 0.055 0.755 0.931
F3 F 0.093 0.737 0.193
F4 F 0.093 0.763 0.693
F5 F 0.218 0.520 0.306
F6 F 0.218 0.980 0.806
F7 F 0.240 0.012 0.068
F8 F 0.240 0.488 0.568
F9 F 0.260 0.512 0.068
F10 F 0.260 0.988 0.568
F11 F 0.282 0.020 0.306
F12 F 0.282 0.480 0.806
F13 F 0.407 0.237 0.193
F14 F 0.407 0.263 0.693
F15 F 0.445 0.245 0.431
F16 F 0.445 0.255 0.931
F17 F 0.555 0.745 0.069
F18 F 0.555 0.755 0.569
F19 F 0.593 0.737 0.307
F20 F 0.593 0.763 0.807
F21 F 0.718 0.520 0.194
F22 F 0.718 0.980 0.694
F23 F 0.740 0.012 0.432
F24 F 0.740 0.488 0.932
F25 F 0.760 0.512 0.432
F26 F 0.760 0.988 0.932
F27 F 0.782 0.020 0.194
F28 F 0.782 0.480 0.694
F29 F 0.907 0.237 0.307
F30 F 0.907 0.263 0.807
F31 F 0.945 0.245 0.069
F32 F 0.945 0.255 0.569
```

Entry 2:
Li2AlPH at its PBEsol-relaxed geometry, computed with SCAN.

Calculated values
* mass density: 2.0 Mg/m³
* SG: P4/mmm (123)
* E: -5.37 eV/atom

Geometry as CIF:
```
data_Li2AlPH
_chemical_formula_sum 'Li2 Al1 P1 H1'
_symmetry_space_group_name_H-M 'P 1'
_symmetry_Int_Tables_number 1
_cell_length_a 4.052
_cell_length_b 4.052
_cell_length_c 3.684
_cell_angle_alpha 90.00
_cell_angle_beta 90.00
_cell_angle_gamma 90.00
loop_
_symmetry_equiv_pos_as_xyz
'x,y,z'
loop_
_atom_site_label
_atom_site_type_symbol
_atom_site_fract_x
_atom_site_fract_y
_atom_site_fract_z
Li1 Li 0.000 0.500 0.000
Li2 Li 0.500 0.000 0.000
Al1 Al 0.000 0.000 0.500
P1 P 0.500 0.500 0.500
H1 H 0.500 0.500 0.000
```

Entry 3:
ScSnMoPd2 at its PBEsol-relaxed geometry, computed with SCAN.

Calculated values
* mass density: 7.0 Mg/m³
* calculated formation energy: 0.566 eV per atom
* SG: P4/mmm (123)
* E: -29.55 eV/atom

Geometry as CIF:
```
data_ScSnMoPd2
_chemical_formula_sum 'Sc1 Sn1 Mo1 Pd2'
_symmetry_space_group_name_H-M 'P 1'
_symmetry_Int_Tables_number 1
_cell_length_a 4.731
_cell_length_b 4.731
_cell_length_c 5.036
_cell_angle_alpha 90.00
_cell_angle_beta 90.00
_cell_angle_gamma 90.00
loop_
_symmetry_equiv_pos_as_xyz
'x,y,z'
loop_
_atom_site_label
_atom_site_type_symbol
_atom_site_fract_x
_atom_site_fract_y
_atom_site_fract_z
Sc1 Sc 0.000 0.000 0.000
Sn1 Sn 0.500 0.500 0.000
Mo1 Mo 0.500 0.500 0.500
Pd1 Pd 0.000 0.500 0.500
Pd2 Pd 0.500 0.000 0.500
```

Entry 4:
NiOsRh2 at its PBEsol-relaxed geometry, computed with SCAN.

Calculated values
* mass density: 14.4 Mg/m³
* calculated formation energy: 0.415 eV per atom
* SG: F-43m (216)
* energy above the most stable polymorph in this dataset: 368 meV/atom
* E: -38.48 eV/atom

Geometry as CIF:
```
data_NiOsRh2
_chemical_formula_sum 'Ni1 Os1 Rh2'
_symmetry_space_group_name_H-M 'P 1'
_symmetry_Int_Tables_number 1
_cell_length_a 4.202
_cell_length_b 4.202
_cell_length_c 4.202
_cell_angle_alpha 60.00
_cell_angle_beta 60.00
_cell_angle_gamma 60.00
loop_
_symmetry_equiv_pos_as_xyz
'x,y,z'
loop_
_atom_site_label
_atom_site_type_symbol
_atom_site_fract_x
_atom_site_fract_y
_atom_site_fract_z
Ni1 Ni 0.000 0.000 0.000
Os1 Os 0.250 0.250 0.250
Rh1 Rh 0.500 0.500 0.500
Rh2 Rh 0.750 0.750 0.750
```

Entry 5:
Cu2MoIr at its PBEsol-relaxed geometry, computed with SCAN.

Calculated values
* mass density: 13.1 Mg/m³
* calculated formation energy: 0.071 eV per atom
* SG: Cm (8)
* energy above the most stable polymorph in this dataset: 0 meV/atom
* E: -34.03 eV/atom

Geometry as CIF:
```
data_Cu2MoIr
_chemical_formula_sum 'Cu2 Mo1 Ir1'
_symmetry_space_group_name_H-M 'P 1'
_symmetry_Int_Tables_number 1
_cell_length_a 4.564
_cell_length_b 4.564
_cell_length_c 4.557
_cell_angle_alpha 99.72
_cell_angle_beta 99.72
_cell_angle_gamma 34.34
loop_
_symmetry_equiv_pos_as_xyz
'x,y,z'
loop_
_atom_site_label
_atom_site_type_symbol
_atom_site_fract_x
_atom_site_fract_y
_atom_site_fract_z
Cu1 Cu 0.000 0.000 0.000
Cu2 Cu 0.746 0.746 0.205
Mo1 Mo 0.501 0.501 0.495
Ir1 Ir 0.254 0.254 0.712
```

Entry 6:
HfZrGe2Os at its PBEsol-relaxed geometry, computed with SCAN.

Calculated values
* mass density: 9.2 Mg/m³
* calculated formation energy: 0.468 eV per atom
* SG: P4/mmm (123)
* E: -40.22 eV/atom

Geometry as CIF:
```
data_HfZrGe2Os
_chemical_formula_sum 'Hf1 Zr1 Ge2 Os1'
_symmetry_space_group_name_H-M 'P 1'
_symmetry_Int_Tables_number 1
_cell_length_a 4.654
_cell_length_b 4.654
_cell_length_c 5.065
_cell_angle_alpha 90.00
_cell_angle_beta 90.00
_cell_angle_gamma 90.00
loop_
_symmetry_equiv_pos_as_xyz
'x,y,z'
loop_
_atom_site_label
_atom_site_type_symbol
_atom_site_fract_x
_atom_site_fract_y
_atom_site_fract_z
Hf1 Hf 0.000 0.000 0.000
Zr1 Zr 0.500 0.500 0.000
Ge1 Ge 0.000 0.500 0.500
Ge2 Ge 0.500 0.000 0.500
Os1 Os 0.500 0.500 0.500
```

Entry 7:
Ba2HWI at its PBEsol-relaxed geometry, computed with SCAN.

Calculated values
* mass density: 6.8 Mg/m³
* SG: P4/mmm (123)
* E: -37.15 eV/atom

Geometry as CIF:
```
data_Ba2HWI
_chemical_formula_sum 'Ba2 H1 W1 I1'
_symmetry_space_group_name_H-M 'P 1'
_symmetry_Int_Tables_number 1
_cell_length_a 5.158
_cell_length_b 5.158
_cell_length_c 5.400
_cell_angle_alpha 90.00
_cell_angle_beta 90.00
_cell_angle_gamma 90.00
loop_
_symmetry_equiv_pos_as_xyz
'x,y,z'
loop_
_atom_site_label
_atom_site_type_symbol
_atom_site_fract_x
_atom_site_fract_y
_atom_site_fract_z
Ba1 Ba 0.000 0.500 0.000
Ba2 Ba 0.500 0.000 0.000
H1 H 0.000 0.000 0.000
W1 W 0.500 0.500 0.500
I1 I 0.000 0.000 0.500
```

Entry 8:
Cs2KSmCl6 at its PBEsol-relaxed geometry, computed with SCAN.

Calculated values
* mass density: 3.2 Mg/m³
* formation energy from raw total energies: -2393.0 meV per atom
* SG: Fm-3m (225)
* E: -20.02 eV/atom

Geometry as CIF:
```
data_Cs2KSmCl6
_chemical_formula_sum 'Cs2 K1 Sm1 Cl6'
_symmetry_space_group_name_H-M 'P 1'
_symmetry_Int_Tables_number 1
_cell_length_a 7.918
_cell_length_b 7.918
_cell_length_c 7.918
_cell_angle_alpha 60.00
_cell_angle_beta 60.00
_cell_angle_gamma 60.00
loop_
_symmetry_equiv_pos_as_xyz
'x,y,z'
loop_
_atom_site_label
_atom_site_type_symbol
_atom_site_fract_x
_atom_site_fract_y
_atom_site_fract_z
Cs1 Cs 0.250 0.250 0.250
Cs2 Cs 0.750 0.750 0.750
K1 K 0.000 0.000 0.000
Sm1 Sm 0.500 0.500 0.500
Cl1 Cl 0.262 0.262 0.738
Cl2 Cl 0.262 0.738 0.262
Cl3 Cl 0.262 0.738 0.738
Cl4 Cl 0.738 0.262 0.262
Cl5 Cl 0.738 0.262 0.738
Cl6 Cl 0.738 0.738 0.262
```

Entry 9:
SnOsS2 at its PBEsol-relaxed geometry, computed with SCAN.

Calculated values
* mass density: 7.4 Mg/m³
* formation energy from raw total energies: -73.6 meV per atom
* SG: R-3m (166)
* E: -31.84 eV/atom

Geometry as CIF:
```
data_SnOsS2
_chemical_formula_sum 'Sn1 Os1 S2'
_symmetry_space_group_name_H-M 'P 1'
_symmetry_Int_Tables_number 1
_cell_length_a 8.106
_cell_length_b 8.106
_cell_length_c 8.106
_cell_angle_alpha 25.02
_cell_angle_beta 25.02
_cell_angle_gamma 25.02
loop_
_symmetry_equiv_pos_as_xyz
'x,y,z'
loop_
_atom_site_label
_atom_site_type_symbol
_atom_site_fract_x
_atom_site_fract_y
_atom_site_fract_z
Sn1 Sn 0.000 0.000 0.000
Os1 Os 0.500 0.500 0.500
S1 S 0.117 0.117 0.117
S2 S 0.883 0.883 0.883
```

Entry 10:
ZrAg2Hg at its PBEsol-relaxed geometry, computed with SCAN.

Calculated values
* mass density: 11.4 Mg/m³
* calculated formation energy: -0.135 eV per atom
* SG: F-43m (216)
* E: -40.54 eV/atom

Geometry as CIF:
```
data_ZrAg2Hg
_chemical_formula_sum 'Zr1 Ag2 Hg1'
_symmetry_space_group_name_H-M 'P 1'
_symmetry_Int_Tables_number 1
_cell_length_a 4.709
_cell_length_b 4.709
_cell_length_c 4.709
_cell_angle_alpha 60.00
_cell_angle_beta 60.00
_cell_angle_gamma 60.00
loop_
_symmetry_equiv_pos_as_xyz
'x,y,z'
loop_
_atom_site_label
_atom_site_type_symbol
_atom_site_fract_x
_atom_site_fract_y
_atom_site_fract_z
Zr1 Zr 0.000 0.000 0.000
Ag1 Ag 0.500 0.500 0.500
Ag2 Ag 0.750 0.750 0.750
Hg1 Hg 0.250 0.250 0.250
```

> What is the E in the second record?

-5.37 eV/atom

Please write out number 1 again, unchanged.
TcF4 at its PBEsol-relaxed geometry, computed with SCAN.

Calculated values
* mass density: 3.9 Mg/m³
* formation energy from raw total energies: -2230.8 meV per atom
* SG: Pbca (61)
* E: -12.07 eV/atom

Geometry as CIF:
```
data_TcF4
_chemical_formula_sum 'Tc8 F32'
_symmetry_space_group_name_H-M 'P 1'
_symmetry_Int_Tables_number 1
_cell_length_a 5.374
_cell_length_b 9.636
_cell_length_c 11.357
_cell_angle_alpha 90.00
_cell_angle_beta 90.00
_cell_angle_gamma 90.00
loop_
_symmetry_equiv_pos_as_xyz
'x,y,z'
loop_
_atom_site_label
_atom_site_type_symbol
_atom_site_fract_x
_atom_site_fract_y
_atom_site_fract_z
Tc1 Tc 0.094 0.129 0.176
Tc2 Tc 0.094 0.371 0.676
Tc3 Tc 0.406 0.629 0.176
Tc4 Tc 0.406 0.871 0.676
Tc5 Tc 0.594 0.129 0.324
Tc6 Tc 0.594 0.371 0.824
Tc7 Tc 0.906 0.629 0.324
Tc8 Tc 0.906 0.871 0.824
F1 F 0.055 0.745 0.431
F2 F 0.055 0.755 0.931
F3 F 0.093 0.737 0.193
F4 F 0.093 0.763 0.693
F5 F 0.218 0.520 0.306
F6 F 0.218 0.980 0.806
F7 F 0.240 0.012 0.068
F8 F 0.240 0.488 0.568
F9 F 0.260 0.512 0.068
F10 F 0.260 0.988 0.568
F11 F 0.282 0.020 0.306
F12 F 0.282 0.480 0.806
F13 F 0.407 0.237 0.193
F14 F 0.407 0.263 0.693
F15 F 0.445 0.245 0.431
F16 F 0.445 0.255 0.931
F17 F 0.555 0.745 0.069
F18 F 0.555 0.755 0.569
F19 F 0.593 0.737 0.307
F20 F 0.593 0.763 0.807
F21 F 0.718 0.520 0.194
F22 F 0.718 0.980 0.694
F23 F 0.740 0.012 0.432
F24 F 0.740 0.488 0.932
F25 F 0.760 0.512 0.432
F26 F 0.760 0.988 0.932
F27 F 0.782 0.020 0.194
F28 F 0.782 0.480 0.694
F29 F 0.907 0.237 0.307
F30 F 0.907 0.263 0.807
F31 F 0.945 0.245 0.069
F32 F 0.945 0.255 0.569
```